No. 1
Compound: BaLi4Al
Source: Alexandria
Functional: PBE
Structure: relaxed

## Properties
Relative energy among the computed polymorphs: 12 meV per atom

a = 8.3017 Å, b = 5.1157 Å, c = 8.3190 Å
α = 81.42°, β = 119.96°, γ = 90.00°
Closest atoms and distances in Å follow each position.
Element x y z (fractional)
Li 0.2976 0.5546 0.4144  2 Li 2.62-2.94, 2 Al 2.79-2.90
Ba 0.8052 0.7500 0.9999  10 Li 3.53-3.81, 2 Al 3.64
Al 0.0000 0.5000 0.5000  8 Li 2.80-3.10
Ba 0.1948 0.2500 0.0001  10 Li 3.53-3.81, 2 Al 3.64
Li 0.8831 0.9454 0.5855  2 Li 2.63-2.94, 2 Al 2.80-2.89
Li 0.5491 0.7219 0.2438  3 Li 2.62-2.83, 1 Al 2.92
Li 0.3051 0.7780 0.7564  3 Li 2.63-2.83, 1 Al 2.92
Li 0.7024 0.4454 0.5856  2 Li 2.62-2.94, 2 Al 2.79-2.90
Al 0.5000 0.0000 0.5000  8 Li 2.79-3.10
Li 0.6949 0.2220 0.2436  3 Li 2.63-2.83, 1 Al 2.92
Li 0.1169 0.0546 0.4145  2 Li 2.63-2.94, 2 Al 2.80-2.89
Li 0.4509 0.2781 0.7562  3 Li 2.62-2.83, 1 Al 2.92

No. 2
Compound: BaLi2Al
Source: Alexandria
Functional: PBE
Structure: relaxed

## Properties
Calculated total energy: -2.329 eV/atom

a = 4.7427 Å, b = 3.7708 Å, c = 6.9277 Å
α = 74.14°, β = 90.00°, γ = 90.00°
Closest atoms and distances in Å follow each position.
Element x y z (fractional)
Al 0.0000 0.3455 0.4334  4 Li 2.71-2.80
Li 0.0000 0.0024 0.1222  2 Al 2.80, 4 Li 3.12-3.13
Ba 0.5000 0.7079 0.7071  3 Li 3.53-3.66, 4 Al 3.54, 2 Ba 3.77
Li 0.5000 0.4442 0.2373  2 Al 2.71

No. 3
Compound: BaLi2Al
Source: Alexandria
Functional: PBE
Structure: relaxed

## Properties
Calculated total energy: -2.330 eV/atom

a = 3.6667 Å, b = 3.6667 Å, c = 8.2472 Å
α = 90.00°, β = 90.00°, γ = 90.00°
Closest atoms and distances in Å follow each position.
Element x y z (fractional)
Ba 0.5000 0.5000 0.7193  4 Al 3.51, 4 Ba 3.67, 1 Li 3.71
Li 0.0000 0.0000 0.0800  1 Al 2.90, 4 Li 3.02
Al 0.0000 0.0000 0.4318  5 Li 2.90-2.92
Li 0.5000 0.5000 0.2689  4 Al 2.92, 4 Li 3.02

No. 4
Compound: BaLi2Al
Source: Alexandria
Functional: PBE
Structure: relaxed

## Properties
Calculated total energy: -2.177 eV/atom

a = 5.1857 Å, b = 5.1857 Å, c = 4.2323 Å
α = 90.00°, β = 90.00°, γ = 89.94°
Closest atoms and distances in Å follow each position.
Element x y z (fractional)
Ba 0.0000 0.5000 0.5000  8 Li 3.35, 4 Al 3.66-3.67
Al 0.5000 0.0000 0.5000  8 Li 3.35, 4 Ba 3.66-3.67
Li 0.0000 0.0000 0.0000  4 Al 3.35, 4 Ba 3.35, 4 Li 3.66-3.67
Li 0.5000 0.5000 0.0000  4 Ba 3.35, 4 Al 3.35, 4 Li 3.66-3.67

No. 5
Compound: Ba2Li2Al
Source: Alexandria
Functional: PBE
Structure: relaxed

## Properties
Relative energy among the computed polymorphs: 27 meV per atom

a = 7.6972 Å, b = 7.6972 Å, c = 5.5064 Å
α = 90.00°, β = 90.00°, γ = 90.00°
Closest atoms and distances in Å follow each position.
Element x y z (fractional)
Li 0.6324 0.1324 0.0000  1 Li 2.88, 2 Al 3.01
Al 0.5000 0.5000 0.0000  4 Li 3.01
Li 0.8676 0.6324 0.0000  1 Li 2.88, 2 Al 3.01
Ba 0.6970 0.8030 0.5000  2 Li 3.32
Al 0.0000 0.0000 0.0000  4 Li 3.01
Ba 0.8030 0.3030 0.5000  2 Li 3.32
Li 0.1324 0.3676 0.0000  1 Li 2.88, 2 Al 3.01
Li 0.3676 0.8676 0.0000  1 Li 2.88, 2 Al 3.01
Ba 0.3030 0.1970 0.5000  2 Li 3.32
Ba 0.1970 0.6970 0.5000  2 Li 3.32

No. 6
Compound: Ba2Li2Al
Source: Alexandria
Functional: PBE
Structure: relaxed

## Properties
Relative energy among the computed polymorphs: 0 meV per atom

a = 4.1191 Å, b = 4.1191 Å, c = 11.0419 Å
α = 79.25°, β = 79.25°, γ = 90.00°
Closest atoms and distances in Å follow each position.
Element x y z (fractional)
Ba 0.5953 0.5953 0.8095  4 Al 3.55, 4 Li 3.89
Ba 0.4047 0.4047 0.1905  4 Al 3.55, 4 Li 3.89
Al 0.0000 0.0000 0.0000  8 Ba 3.55
Li 0.2500 0.7500 0.5000  4 Li 2.91
Li 0.7500 0.2500 0.5000  4 Li 2.91

No. 7
Compound: BaLiMg2Al
Source: Alexandria
Functional: PBE
Structure: relaxed

## Properties
Relative energy among the computed polymorphs: 22 meV per atom

a = 5.3417 Å, b = 5.3417 Å, c = 5.3232 Å
α = 90.00°, β = 90.00°, γ = 90.00°
Closest atoms and distances in Å follow each position.
Element x y z (fractional)
Mg 0.5000 0.0000 0.0000  2 Al 2.67
Al 0.0000 0.0000 0.0000  2 Li 2.66, 4 Mg 2.67
Mg 0.0000 0.5000 0.0000  2 Al 2.67
Li 0.0000 0.0000 0.5000  2 Al 2.66
Ba 0.5000 0.5000 0.5000  8 Mg 3.77, 4 Li 3.78

No. 8
Compound: Ba2Li3Mg12Al
Source: Alexandria
Functional: PBE
Structure: relaxed

## Properties
Calculated total energy: -1.665 eV/atom

a = 12.5612 Å, b = 12.5612 Å, c = 12.5612 Å
α = 32.50°, β = 32.50°, γ = 32.50°
Closest atoms and distances in Å follow each position.
Element x y z (fractional)
Ba 0.6432 0.6432 0.6432  12 Mg 3.80-3.83, 3 Al 4.14
Al 0.0000 0.0000 0.0000  6 Mg 2.97
Mg 0.0921 0.0921 0.6235  1 Al 2.97, 4 Mg 3.00-3.29
Mg 0.4065 0.8284 0.4065  2 Li 2.77, 4 Mg 2.97-3.00
Mg 0.5935 0.5935 0.1716  2 Li 2.77, 4 Mg 2.97-3.00
Mg 0.8284 0.4065 0.4065  2 Li 2.77, 4 Mg 2.97-3.00
Li 0.0000 0.0000 0.5000  4 Mg 2.77
Mg 0.6235 0.0921 0.0921  1 Al 2.97, 4 Mg 3.00-3.29
Mg 0.5935 0.1716 0.5935  2 Li 2.77, 4 Mg 2.97-3.00
Mg 0.3765 0.9079 0.9079  1 Al 2.97, 4 Mg 3.00-3.29
Mg 0.1716 0.5935 0.5935  2 Li 2.77, 4 Mg 2.97-3.00
Mg 0.0921 0.6235 0.0921  1 Al 2.97, 4 Mg 3.00-3.29
Li 0.0000 0.5000 0.0000  4 Mg 2.77
Mg 0.9079 0.9079 0.3765  1 Al 2.97, 4 Mg 3.00-3.29
Li 0.5000 0.0000 0.0000  4 Mg 2.77
Mg 0.9079 0.3765 0.9079  1 Al 2.97, 4 Mg 3.00-3.29
Ba 0.3568 0.3568 0.3568  12 Mg 3.80-3.83, 3 Al 4.14
Mg 0.4065 0.4065 0.8284  2 Li 2.77, 4 Mg 2.97-3.00

Across the entries above, D(E_F) takes the values 5.1 2.6 4.4 3.4 5.4 3.7 3.4 13.7 states/eV/f.u., respectively.